This record from Alexandria describes a geometry-optimized PmDySn structure. The functional is PBE.

As for the space-group type: F-43m, No. 216. As for the density of states at the Fermi level: 1.0949 states/eV/atom. The calculated volume is 33.1 Å³/atom. The total DFT energy (no corrections) comes out at -14.59 eV per formula unit. As for the formation enthalpy at 0 K: -412 meV per atom.

Cell: 5.199 5.199 5.199 Å, 60.00 60.00 60.00°
Sites, in units of the cell vectors:
1 Pm 0.500 0.500 0.500
2 Sn 0.250 0.250 0.250
3 Dy 0.000 0.000 0.000